The following is a PBE calculation of a relaxed structure of CaMgNi, from the Alexandria database.

Geometry as extended XYZ:
```
3
Lattice="-4.388 4.225 -0.920 -5.831 1.788 0.870 0.045 1.966 2.713" Properties=species:S:1:pos:R:3 pbc="T T T"
Ca -0.188 2.058 2.650
Mg -2.974 3.157 1.900
Ni -6.967 4.731 0.825
```

Summary:
Spin magnetization ... 0.00 Bohr magnetons per cell
Energy of formation from the pure elements ... -0.038 eV per atom
Mass density ... 3201 kg/m3
SG ... I4mm, No. 107

=====

The following is a PBE calculation of a relaxed structure of Ca4Mg2Ni, from the Alexandria database.

Geometry as extended XYZ:
```
7
Lattice="-3.376 -3.243 2.488 0.356 -3.447 -4.011 8.050 -0.490 4.637" Properties=species:S:1:pos:R:3 pbc="T T T"
Ni 0.000 0.000 0.000
Ca 2.827 -5.888 1.808
Ca 2.204 -1.292 1.306
Ca 0.178 -1.724 -2.006
Ca -1.688 -1.622 1.244
Mg 0.209 -4.353 0.257
Mg 4.821 -2.827 2.857
```

Summary:
Spin magnetization ... 0.00 Bohr magnetons per cell
Energy of formation from the pure elements ... 0.056 eV per atom
Mass density ... 1857 kg/m3
SG ... I4/mmm, No. 139

=====

The following is a PBE calculation of a relaxed structure of Ca2MgNi16, from the Alexandria database.

Geometry as extended XYZ:
```
19
Lattice="6.270 0.011 0.720 0.643 6.237 0.720 0.013 0.011 6.311" Properties=species:S:1:pos:R:3 pbc="T T T"
Ca 4.504 4.071 5.041
Ca 2.375 2.146 2.657
Mg 6.265 5.663 7.011
Ni 5.062 6.247 3.097
Ni 6.468 1.868 5.377
Ni 2.324 4.407 7.030
Ni 6.725 4.407 3.097
Ni 4.619 1.868 7.030
Ni 2.510 6.247 5.377
Ni 2.697 5.301 3.018
Ni 5.545 2.149 3.018
Ni 2.378 2.149 5.849
Ni 4.211 0.983 4.712
Ni 1.402 4.090 4.712
Ni 4.525 4.090 1.921
Ni 0.338 3.077 0.378
Ni 3.096 0.026 0.378
Ni 0.029 0.026 3.119
Ni 0.720 0.650 0.805
```

Summary:
Spin magnetization ... 7.22 Bohr magnetons per cell
Energy of formation from the pure elements ... -0.095 eV per atom
Mass density ... 7026 kg/m3
SG ... R3m, No. 160

=====

The following is a PBE calculation of a relaxed structure of CaMg2Ni2, from the Alexandria database.

Geometry as extended XYZ:
```
5
Lattice="4.158 0.000 0.000 0.000 4.158 0.000 2.079 2.079 5.570" Properties=species:S:1:pos:R:3 pbc="T T T"
Ni 2.079 2.079 1.144
Ni 4.158 4.158 4.426
Ca 0.000 0.000 0.000
Mg 4.158 2.079 2.785
Mg 2.079 4.158 2.785
```

Summary:
Spin magnetization ... 0.00 Bohr magnetons per cell
Energy of formation from the pure elements ... -0.111 eV per atom
Mass density ... 3553 kg/m3
SG ... I4/mmm, No. 139

=====

The following is a PBE calculation of a relaxed structure of Ca3Mg2Ni13, from the Alexandria database.

Geometry as extended XYZ:
```
18
Lattice="12.358 -0.001 0.000 11.369 4.845 0.000 11.369 2.321 4.253" Properties=species:S:1:pos:R:3 pbc="T T T"
Ca 17.548 3.583 2.126
Ca 33.592 6.859 4.070
Ca 1.504 0.307 0.182
Mg 20.752 4.237 2.514
Mg 14.345 2.929 1.738
Ni 29.272 5.977 3.547
Ni 5.825 1.189 0.706
Ni 7.600 2.805 0.237
Ni 7.600 1.552 2.348
Ni 8.091 0.399 0.237
Ni 27.497 4.361 4.015
Ni 27.497 5.614 1.904
Ni 27.005 6.767 4.015
Ni 25.364 5.179 3.073
Ni 9.732 1.987 1.179
Ni 11.864 2.422 0.000
Ni 11.369 3.583 2.126
Ni 11.864 1.160 2.126
```

Summary:
Spin magnetization ... 2.16 Bohr magnetons per cell
Energy of formation from the pure elements ... -0.172 eV per atom
Mass density ... 6075 kg/m3
SG ... R-3m, No. 166

=====

The following is a PBE calculation of a relaxed structure of Ca2Mg5Ni4, from the Alexandria database.

Geometry as extended XYZ:
```
11
Lattice="5.968 0.000 0.000 2.984 6.146 0.461 2.984 2.003 6.692" Properties=species:S:1:pos:R:3 pbc="T T T"
Ca 5.968 6.404 4.507
Ca 5.968 1.744 2.647
Mg 4.473 3.665 6.212
Mg 7.463 4.483 0.942
Mg 2.984 4.074 3.577
Mg 7.463 3.665 6.212
Mg 4.473 4.483 0.942
Ni 5.968 6.463 1.607
Ni 5.968 1.685 5.547
Ni 8.952 5.633 5.512
Ni 2.984 2.515 1.642
```

Summary:
Spin magnetization ... 0.00 Bohr magnetons per cell
Energy of formation from the pure elements ... -0.041 eV per atom
Mass density ... 3021 kg/m3
SG ... C2/m, No. 12

=====

The following is a PBE calculation of a relaxed structure of CaMg4Ni, from the Alexandria database.

Geometry as extended XYZ:
```
12
Lattice="-3.205 -1.685 1.802 0.987 -6.277 -4.112 5.300 -3.312 6.328" Properties=species:S:1:pos:R:3 pbc="T T T"
Ca 4.558 -6.190 2.318
Ca 1.729 -3.399 -0.102
Mg 2.650 -1.656 3.164
Mg 0.000 0.000 0.000
Mg 3.316 -9.328 1.716
Mg -0.234 -1.946 2.302
Mg -0.550 -5.460 -1.544
Mg 3.632 -5.813 5.562
Mg 1.376 -6.664 0.756
Mg 1.706 -4.610 3.262
Ni 4.164 -3.685 3.959
Ni 2.123 -5.904 -1.743
```

Summary:
Spin magnetization ... 0.00 Bohr magnetons per cell
Energy of formation from the pure elements ... -0.125 eV per atom
Mass density ... 2391 kg/m3
SG ... Pmma, No. 51

=====

The following is a PBE calculation of a relaxed structure of Ca8Mg2Ni, from the Alexandria database.

Geometry as extended XYZ:
```
11
Lattice="5.582 0.000 -1.451 -0.440 7.013 -1.691 -0.413 -1.056 9.871" Properties=species:S:1:pos:R:3 pbc="T T T"
Ca 3.054 2.652 0.286
Ca 1.695 -0.371 6.521
Ca 0.854 1.501 3.284
Ca -0.275 5.459 -1.059
Ca 3.875 4.455 3.445
Ca 3.034 6.327 0.208
Ca 1.675 3.304 6.443
Ca 5.005 0.498 7.788
Mg 0.550 4.659 2.115
Mg 4.179 1.297 4.614
Ni 2.791 0.000 -0.726
```

Summary:
Spin magnetization ... 0.00 Bohr magnetons per cell
Energy of formation from the pure elements ... -0.013 eV per atom
Mass density ... 1912 kg/m3
SG ... C2/m, No. 12

=====

The following is a PBE calculation of a relaxed structure of CaMg4Ni, from the Alexandria database.

Geometry as extended XYZ:
```
6
Lattice="3.997 -3.965 1.183 -1.333 -5.591 -0.244 2.131 -3.285 -4.216" Properties=species:S:1:pos:R:3 pbc="T T T"
Ca 1.199 -3.210 -0.819
Mg 3.675 -5.219 -1.928
Mg 0.985 -6.039 -2.649
Mg 3.002 -8.041 -2.051
Mg 1.927 -6.383 0.076
Ni 0.000 0.000 0.000
```

Summary:
Spin magnetization ... 0.00 Bohr magnetons per cell
Energy of formation from the pure elements ... 0.177 eV per atom
Mass density ... 2417 kg/m3
SG ... F-43m, No. 216

=====

The following is a PBE calculation of a relaxed structure of CaMg2Ni2, from the Alexandria database.

Geometry as extended XYZ:
```
10
Lattice="-0.285 -2.924 -7.160 -6.939 -3.068 1.529 -1.295 2.455 -0.951" Properties=species:S:1:pos:R:3 pbc="T T T"
Ni -5.336 -1.317 -0.661
Ni -6.607 -3.279 -3.992
Ni -3.184 -2.220 -5.922
Ni -1.912 -0.259 -2.590
Ca 0.000 0.000 0.000
Ca -3.612 -2.996 -2.816
Mg -6.162 -3.768 -1.334
Mg -4.601 -4.477 -5.290
Mg -1.062 -2.225 -4.297
Mg -2.623 -1.516 -0.341
```

Summary:
Spin magnetization ... 0.00 Bohr magnetons per cell
Energy of formation from the pure elements ... -0.041 eV per atom
Mass density ... 3893 kg/m3
SG ... P4/mbm, No. 127

=====

The following is a PBE calculation of a relaxed structure of CaMgNi2, from the Alexandria database.

Geometry as extended XYZ:
```
4
Lattice="-0.274 0.825 5.496 -4.921 0.242 2.587 3.477 -2.990 -3.152" Properties=species:S:1:pos:R:3 pbc="T T T"
Ca -2.666 0.548 4.148
Mg -1.884 -1.135 1.526
Ni -5.081 1.044 7.906
Ni 0.121 -0.778 3.476
```

Summary:
Spin magnetization ... 0.00 Bohr magnetons per cell
Energy of formation from the pure elements ... 0.021 eV per atom
Mass density ... 4378 kg/m3
SG ... Imm2, No. 44

=====

The following is a PBE calculation of a relaxed structure of CaMgNi2, from the Alexandria database.

Geometry as extended XYZ:
```
4
Lattice="3.473 0.000 0.000 0.000 3.103 0.031 0.000 3.046 6.402" Properties=species:S:1:pos:R:3 pbc="T T T"
Ca 1.736 1.537 1.608
Mg 1.736 4.611 4.825
Ni 0.000 3.047 6.088
Ni 0.000 3.073 3.530
```

Summary:
Spin magnetization ... 0.00 Bohr magnetons per cell
Energy of formation from the pure elements ... -0.031 eV per atom
Mass density ... 4397 kg/m3
SG ... P2/m, No. 10

=====

The following is a PBE calculation of a relaxed structure of CaMgNi2, from the Alexandria database.

Geometry as extended XYZ:
```
4
Lattice="-0.565 1.938 -4.918 1.040 -0.574 -5.182 -3.716 -2.170 -1.952" Properties=species:S:1:pos:R:3 pbc="T T T"
Ca -1.796 -0.526 -5.923
Mg -0.572 -0.033 -3.165
Ni -0.054 -0.002 -0.313
Ni -2.438 -0.647 -8.678
```

Summary:
Spin magnetization ... 0.00 Bohr magnetons per cell
Energy of formation from the pure elements ... 0.012 eV per atom
Mass density ... 4401 kg/m3
SG ... Cm, No. 8

=====

The following is a PBE calculation of a relaxed structure of Ca6MgNi, from the Alexandria database.

Geometry as extended XYZ:
```
8
Lattice="6.734 0.291 0.000 1.894 8.470 0.000 0.947 4.235 5.203" Properties=species:S:1:pos:R:3 pbc="T T T"
Ca 6.985 7.825 3.292
Ca 6.038 3.590 1.911
Ca 3.537 9.406 3.292
Ca 2.590 5.171 1.911
Ca 5.455 6.823 0.000
Ca 3.173 1.938 0.000
Mg 0.000 0.000 0.000
Ni 4.314 4.380 0.000
```

Summary:
Spin magnetization ... 0.00 Bohr magnetons per cell
Energy of formation from the pure elements ... 0.018 eV per atom
Mass density ... 1827 kg/m3
SG ... C2/m, No. 12

=====

The following is a PBE calculation of a relaxed structure of CaMgNi2, from the Alexandria database.

Geometry as extended XYZ:
```
4
Lattice="3.193 0.000 0.000 0.000 3.193 0.000 0.000 0.000 7.272" Properties=species:S:1:pos:R:3 pbc="T T T"
Ca 0.000 0.000 3.240
Mg 1.597 1.597 5.991
Ni 0.000 0.000 0.401
Ni 1.597 1.597 1.277
```

Summary:
Spin magnetization ... 0.04 Bohr magnetons per cell
Energy of formation from the pure elements ... 0.058 eV per atom
Mass density ... 4070 kg/m3
SG ... P4mm, No. 99

=====

The following is a PBE calculation of a relaxed structure of CaMgNi, from the Alexandria database.

Geometry as extended XYZ:
```
6
Lattice="3.901 0.000 -1.084 -0.766 5.251 -2.756 -0.263 0.029 6.614" Properties=species:S:1:pos:R:3 pbc="T T T"
Ca 2.108 3.726 0.026
Ca 0.764 1.554 2.748
Mg -0.586 4.015 -2.108
Mg -0.180 1.236 -0.649
Ni 2.219 0.547 0.426
Ni 0.653 4.732 2.348
```

Summary:
Spin magnetization ... 0.00 Bohr magnetons per cell
Energy of formation from the pure elements ... -0.114 eV per atom
Mass density ... 3043 kg/m3
SG ... Immm, No. 71

=====

The following is a PBE calculation of a relaxed structure of Ca4MgNi2, from the Alexandria database.

Geometry as extended XYZ:
```
14
Lattice="5.491 0.000 -0.264 -2.746 5.615 0.132 -1.302 0.000 13.207" Properties=species:S:1:pos:R:3 pbc="T T T"
Ca 2.287 3.312 1.389
Ca 2.553 3.312 4.950
Ca -0.843 2.303 11.686
Ca -1.109 2.303 8.125
Ca 1.769 4.433 9.774
Ca -0.325 1.182 3.302
Ca 2.746 0.000 -0.132
Ca 2.095 0.000 6.472
Mg 1.769 1.179 9.774
Mg -0.325 4.436 3.302
Ni -0.064 2.945 5.609
Ni 2.031 2.670 12.081
Ni -0.587 2.945 0.995
Ni 1.508 2.670 7.466
```

Summary:
Spin magnetization ... 0.00 Bohr magnetons per cell
Energy of formation from the pure elements ... -0.009 eV per atom
Mass density ... 2475 kg/m3
SG ... C2/c, No. 15

=====

The following is a PBE calculation of a relaxed structure of Ca3Mg2Ni7, from the Alexandria database.

Geometry as extended XYZ:
```
12
Lattice="-3.732 1.834 -3.192 -0.648 -2.106 -4.757 -6.742 -5.454 0.444" Properties=species:S:1:pos:R:3 pbc="T T T"
Ca 0.000 0.000 0.000
Ca -6.592 -2.517 -6.653
Ca -4.530 -3.208 -0.851
Mg -2.920 -0.181 -5.299
Mg -8.202 -5.544 -2.205
Ni -5.561 -2.863 -3.752
Ni -5.411 -0.605 -4.772
Ni -3.877 -2.566 -5.551
Ni -3.554 -1.518 -3.184
Ni -5.711 -5.120 -2.733
Ni -7.568 -4.208 -4.321
Ni -7.245 -3.160 -1.954
```

Summary:
Spin magnetization ... 0.00 Bohr magnetons per cell
Energy of formation from the pure elements ... -0.150 eV per atom
Mass density ... 4970 kg/m3
SG ... R-3m, No. 166

=====

The following is a PBE calculation of a relaxed structure of CaMg10Ni3, from the Alexandria database.

Geometry as extended XYZ:
```
28
Lattice="-5.729 5.217 -5.419 -7.618 4.131 3.782 -0.250 9.393 1.058" Properties=species:S:1:pos:R:3 pbc="T T T"
Ca -3.399 4.685 -0.145
Ca -10.198 14.056 -0.434
Mg -0.083 3.138 0.353
Mg -2.545 1.380 1.264
Mg -1.914 1.743 -1.810
Mg -6.360 4.854 -2.345
Mg -5.288 7.288 -0.225
Mg -5.763 9.134 2.055
Mg -8.674 9.124 1.456
Mg -3.899 6.612 -3.255
Mg -5.399 11.463 0.245
Mg -7.834 9.607 -2.633
Mg -8.198 7.278 -0.824
Mg -0.166 6.255 0.705
Mg -6.987 4.494 0.708
Mg -5.157 5.889 2.872
Mg -2.711 7.635 1.968
Mg -3.815 3.474 -3.608
Mg -8.309 11.453 -0.353
Mg -5.073 2.751 2.519
Mg -4.923 9.617 -2.035
Mg -2.080 7.998 -1.106
Ni -9.846 9.360 -0.916
Ni -6.417 11.809 -2.184
Ni -7.296 11.303 2.098
Ni -3.751 9.381 0.338
Ni -6.301 7.438 -2.676
Ni -7.180 6.932 1.605
```

Summary:
Spin magnetization ... 0.00 Bohr magnetons per cell
Energy of formation from the pure elements ... -0.048 eV per atom
Mass density ... 2551 kg/m3
SG ... Fm-3m, No. 225

=====

The following is a PBE calculation of a relaxed structure of CaMgNi2, from the Alexandria database.

Geometry as extended XYZ:
```
4
Lattice="4.333 -0.067 0.004 2.235 3.712 0.004 2.173 1.206 4.842" Properties=species:S:1:pos:R:3 pbc="T T T"
Ca 6.556 3.638 3.638
Mg 2.185 1.213 1.213
Ni 6.570 3.646 0.868
Ni 4.369 2.424 1.566
```

Summary:
Spin magnetization ... 0.00 Bohr magnetons per cell
Energy of formation from the pure elements ... -0.075 eV per atom
Mass density ... 3842 kg/m3
SG ... C2/m, No. 12